Run one
{"formula": "PmHfAl2", "functional": "PBE", "state": "relaxed", "cell": [[3.6171, 0.0000, 0.0000], [0.0000, 3.6171, 0.0000], [0.0000, 0.0000, 6.7188]], "species": ["Pm", "Hf", "Al", "Al"], "frac_coords": [[0.0000, 0.0000, 0.0000], [0.0000, 0.0000, 0.5000], [0.5000, 0.5000, 0.2937], [0.5000, 0.5000, 0.7063]], "m_tot_mub_per_cell": 0.00, "sg": "P4/mmm, No. 123"}



Run two
{"formula": "PmHfAl2", "functional": "PBE", "state": "relaxed", "cell": [[4.5382, 0.0000, 0.0000], [0.0000, 4.5382, 0.0000], [0.0000, 0.0000, 4.2274]], "species": ["Pm", "Hf", "Al", "Al"], "frac_coords": [[0.0000, 0.0000, 0.0000], [0.5000, 0.5000, 0.0000], [0.0000, 0.5000, 0.5000], [0.5000, 0.0000, 0.5000]], "m_tot_mub_per_cell": 0.00, "sg": "P4/mmm, No. 123"}



Order from most stable to least stable according to the calculation: run one, run two



Run one
{"formula": "PmHfAl", "functional": "PBE", "state": "relaxed", "cell": [[3.2710, 0.0000, 0.0000], [0.0000, 3.2710, 0.0000], [0.0000, 0.0000, 13.3439]], "species": ["Pm", "Pm", "Hf", "Hf", "Al", "Al"], "frac_coords": [[0.0000, 0.0000, 0.1719], [0.0000, 0.0000, 0.8281], [0.5000, 0.5000, 0.3628], [0.5000, 0.5000, 0.6372], [0.0000, 0.0000, 0.5000], [0.5000, 0.5000, 0.0000]], "m_tot_mub_per_cell": 0.00, "sg": "P4/mmm, No. 123"}



Run two
{"formula": "PmHfAl", "functional": "PBE", "state": "relaxed", "cell": [[5.0909, 0.0000, 0.0000], [-2.5454, 4.4088, 0.0000], [0.0000, 0.0000, 3.0471]], "species": ["Pm", "Hf", "Al"], "frac_coords": [[0.0000, 0.0000, 0.0000], [0.6667, 0.3333, 0.0000], [0.3333, 0.6667, 0.5000]], "m_tot_mub_per_cell": 0.00, "sg": "P-6m2, No. 187"}



Order from most stable to least stable according to the calculation: run one, run two



Run one
{"formula": "HfAlPt3", "functional": "PBE", "state": "relaxed", "cell": [[6.6102, -2.3754, 0.0000], [6.6102, 2.3754, 0.0000], [-1.7521, 0.0000, 5.2990]], "species": ["Hf", "Hf", "Al", "Al", "Pt", "Pt", "Pt", "Pt", "Pt", "Pt"], "frac_coords": [[0.1847, 0.1847, 0.1376], [0.8153, 0.8153, 0.8624], [0.4053, 0.4053, 0.6001], [0.5947, 0.5947, 0.3999], [0.0070, 0.0070, 0.2637], [0.2104, 0.2104, 0.6583], [0.3890, 0.3890, 0.1199], [0.6110, 0.6110, 0.8801], [0.7896, 0.7896, 0.3417], [0.9930, 0.9930, 0.7363]], "m_tot_mub_per_cell": 0.00, "sg": "C2/m, No. 12"}



Run two
{"formula": "HfAlPt3", "functional": "PBE", "state": "relaxed", "cell": [[4.5479, 0.0000, 0.0000], [0.0000, 4.5479, 0.0000], [0.0000, 0.0000, 4.5479]], "species": ["Hf", "Al", "Pt", "Pt", "Pt"], "frac_coords": [[0.0000, 0.0000, 0.0000], [0.5000, 0.5000, 0.5000], [0.0000, 0.5000, 0.5000], [0.5000, 0.0000, 0.5000], [0.5000, 0.5000, 0.0000]], "m_tot_mub_per_cell": 0.00, "sg": "Pm-3m, No. 221"}



Order from most stable to least stable according to the calculation: run one, run two



Run one
{"formula": "HfAl2Pt2", "functional": "PBE", "state": "relaxed", "cell": [[7.5619, 0.0000, 0.0000], [0.0000, 7.5619, 0.0000], [0.0000, 0.0000, 2.8658]], "species": ["Hf", "Hf", "Al", "Al", "Al", "Al", "Pt", "Pt", "Pt", "Pt"], "frac_coords": [[0.0000, 0.0000, 0.0000], [0.5000, 0.5000, 0.0000], [0.1576, 0.3424, 0.5000], [0.3424, 0.8424, 0.5000], [0.6576, 0.1576, 0.5000], [0.8424, 0.6576, 0.5000], [0.1376, 0.6376, 0.0000], [0.3624, 0.1376, 0.0000], [0.6376, 0.8624, 0.0000], [0.8624, 0.3624, 0.0000]], "m_tot_mub_per_cell": 0.00, "sg": "P4/mbm, No. 127"}



Run two
{"formula": "HfAl2Pt2", "functional": "PBE", "state": "relaxed", "cell": [[-1.8836, 1.8836, 6.0810], [1.8836, -1.8836, 6.0810], [1.8836, 1.8836, -6.0810]], "species": ["Hf", "Al", "Al", "Pt", "Pt"], "frac_coords": [[0.0000, 0.0000, 0.0000], [0.2500, 0.7500, 0.5000], [0.7500, 0.2500, 0.5000], [0.3910, 0.3910, 0.0000], [0.6090, 0.6090, 0.0000]], "m_tot_mub_per_cell": 0.00, "sg": "I4/mmm, No. 139"}



Order from most stable to least stable according to the calculation: run two, run one



Run one
{"formula": "HfAl3Pt", "functional": "PBE", "state": "relaxed", "cell": [[4.7148, 0.0000, 0.0000], [0.0000, 4.7148, 0.0000], [0.0000, 0.0000, 4.7148]], "species": ["Hf", "Al", "Al", "Al", "Pt"], "frac_coords": [[0.0000, 0.0000, 0.0000], [0.0000, 0.5000, 0.5000], [0.5000, 0.0000, 0.5000], [0.5000, 0.5000, 0.0000], [0.5000, 0.5000, 0.5000]], "m_tot_mub_per_cell": 0.00, "sg": "Pm-3m, No. 221"}



Run two
{"formula": "HfAl3Pt", "functional": "PBE", "state": "relaxed", "cell": [[5.0595, 0.0000, 0.0000], [0.0000, 5.0595, 0.0000], [0.0000, 0.0000, 5.0595]], "species": ["Hf", "Al", "Al", "Al", "Pt"], "frac_coords": [[0.0000, 0.0000, 0.0000], [0.0000, 0.0000, 0.5000], [0.0000, 0.5000, 0.0000], [0.5000, 0.0000, 0.0000], [0.5000, 0.5000, 0.5000]], "m_tot_mub_per_cell": 0.00, "sg": "Pm-3m, No. 221"}



Order from most stable to least stable according to the calculation: run one, run two



Run one
{"formula": "PuHfAl2", "functional": "PBE", "state": "relaxed", "cell": [[2.9535, 0.0000, 0.0000], [0.0000, 4.2669, 0.0000], [0.0000, 0.0000, 6.4992]], "species": ["Pu", "Hf", "Al", "Al"], "frac_coords": [[0.0000, 0.0000, 0.0000], [0.0000, 0.0000, 0.5000], [0.5000, 0.5000, 0.2772], [0.5000, 0.5000, 0.7228]], "m_tot_mub_per_cell": 5.84, "sg": "Pmmm, No. 47"}



Run two
{"formula": "PuHfAl2", "functional": "PBE", "state": "relaxed", "cell": [[0.0000, 3.4474, 3.4474], [3.4474, 0.0000, 3.4474], [3.4474, 3.4474, 0.0000]], "species": ["Pu", "Hf", "Al", "Al"], "frac_coords": [[0.0000, 0.0000, 0.0000], [0.5000, 0.5000, 0.5000], [0.2500, 0.2500, 0.2500], [0.7500, 0.7500, 0.7500]], "m_tot_mub_per_cell": 5.62, "sg": "Fm-3m, No. 225"}



Run three
{"formula": "PuHfAl2", "functional": "PBE", "state": "relaxed", "cell": [[4.3509, 0.0000, 0.0000], [0.0000, 4.3509, 0.0000], [0.0000, 0.0000, 4.3247]], "species": ["Pu", "Hf", "Al", "Al"], "frac_coords": [[0.0000, 0.0000, 0.0000], [0.5000, 0.5000, 0.0000], [0.0000, 0.5000, 0.5000], [0.5000, 0.0000, 0.5000]], "m_tot_mub_per_cell": 5.99, "sg": "P4/mmm, No. 123"}



Run four
{"formula": "PuHfAl2", "functional": "PBE", "state": "relaxed", "cell": [[3.0197, 0.0000, 0.0000], [0.0000, 3.0197, 0.0000], [0.0000, 0.0000, 8.7771]], "species": ["Pu", "Hf", "Al", "Al"], "frac_coords": [[0.0000, 0.0000, 0.0000], [0.0000, 0.0000, 0.5000], [0.5000, 0.5000, 0.2657], [0.5000, 0.5000, 0.7343]], "m_tot_mub_per_cell": 5.33, "sg": "P4/mmm, No. 123"}



Order from most stable to least stable according to the calculation: run four, run one, run two, run three



Run one
{"formula": "PuHfAl", "functional": "PBE", "state": "relaxed", "cell": [[4.9811, 0.0000, 0.0000], [-2.4905, 4.3137, 0.0000], [0.0000, 0.0000, 2.9308]], "species": ["Pu", "Hf", "Al"], "frac_coords": [[0.0000, 0.0000, 0.0000], [0.3333, 0.6667, 0.0000], [0.6667, 0.3333, 0.5000]], "m_tot_mub_per_cell": 5.56, "sg": "P-6m2, No. 187"}



Run two
{"formula": "PuHfAl", "functional": "PBE", "state": "relaxed", "cell": [[-1.5279, 1.5279, 6.8890], [1.5279, -1.5279, 6.8890], [1.5279, 1.5279, -6.8890]], "species": ["Pu", "Hf", "Al"], "frac_coords": [[0.0000, 0.0000, 0.0000], [0.6876, 0.6876, 0.0000], [0.3333, 0.3333, 0.0000]], "m_tot_mub_per_cell": 5.31, "sg": "I4mm, No. 107"}



Order from most stable to least stable according to the calculation: run two, run one



Run one
{"formula": "RbHfAl2", "functional": "PBE", "state": "relaxed", "cell": [[0.0000, 3.6714, 3.6714], [3.6714, 0.0000, 3.6714], [3.6714, 3.6714, 0.0000]], "species": ["Rb", "Hf", "Al", "Al"], "frac_coords": [[0.0000, 0.0000, 0.0000], [0.5000, 0.5000, 0.5000], [0.2500, 0.2500, 0.2500], [0.7500, 0.7500, 0.7500]], "m_tot_mub_per_cell": 0.00, "sg": "Fm-3m, No. 225"}



Run two
{"formula": "RbHfAl2", "functional": "PBE", "state": "relaxed", "cell": [[-2.7399, 2.7399, 9.7703], [2.7399, -2.7399, 9.7703], [2.7399, 2.7399, -9.7703]], "species": ["Rb", "Rb", "Hf", "Hf", "Al", "Al", "Al", "Al"], "frac_coords": [[0.3750, 0.6250, 0.7500], [0.6250, 0.3750, 0.2500], [0.1250, 0.8750, 0.2500], [0.8750, 0.1250, 0.7500], [0.0000, 0.0000, 0.0000], [0.0000, 0.0000, 0.5000], [0.0000, 0.5000, 0.0000], [0.5000, 0.0000, 0.5000]], "m_tot_mub_per_cell": 1.75, "sg": "I4_1/amd, No. 141"}



Order from most stable to least stable according to the calculation: run one, run two



Run one
{"formula": "HfAl3Re", "functional": "PBE", "state": "relaxed", "cell": [[4.6710, 0.0000, 0.0000], [0.0000, 4.6710, 0.0000], [0.0000, 0.0000, 4.6710]], "species": ["Hf", "Al", "Al", "Al", "Re"], "frac_coords": [[0.0000, 0.0000, 0.0000], [0.0000, 0.5000, 0.5000], [0.5000, 0.0000, 0.5000], [0.5000, 0.5000, 0.0000], [0.5000, 0.5000, 0.5000]], "m_tot_mub_per_cell": 0.00, "sg": "Pm-3m, No. 221"}



Run two
{"formula": "HfAl3Re", "functional": "PBE", "state": "relaxed", "cell": [[4.8919, 0.0000, 0.0000], [0.0000, 4.8919, 0.0000], [0.0000, 0.0000, 4.8919]], "species": ["Hf", "Al", "Al", "Al", "Re"], "frac_coords": [[0.0000, 0.0000, 0.0000], [0.0000, 0.0000, 0.5000], [0.0000, 0.5000, 0.0000], [0.5000, 0.0000, 0.0000], [0.5000, 0.5000, 0.5000]], "m_tot_mub_per_cell": 0.00, "sg": "Pm-3m, No. 221"}



Order from most stable to least stable according to the calculation: run one, run two



Run one
{"formula": "HfTiAlRe", "functional": "PBE", "state": "relaxed", "cell": [[0.0000, 3.2345, 3.2345], [3.2345, 0.0000, 3.2345], [3.2345, 3.2345, 0.0000]], "species": ["Hf", "Ti", "Al", "Re"], "frac_coords": [[0.0000, 0.0000, 0.0000], [0.5000, 0.5000, 0.5000], [0.7500, 0.7500, 0.7500], [0.2500, 0.2500, 0.2500]], "m_tot_mub_per_cell": 0.00, "sg": "F-43m, No. 216"}



Run two
{"formula": "HfTiAlRe", "functional": "PBE", "state": "relaxed", "cell": [[3.2679, 0.0000, 0.0000], [0.0000, 3.2679, 0.0000], [0.0000, 0.0000, 6.3444]], "species": ["Hf", "Ti", "Al", "Re"], "frac_coords": [[0.0000, 0.0000, 0.0000], [0.0000, 0.0000, 0.4762], [0.5000, 0.5000, 0.7163], [0.5000, 0.5000, 0.2540]], "m_tot_mub_per_cell": 0.00, "sg": "P4mm, No. 99"}



Order from most stable to least stable according to the calculation: run two, run one



Run one
{"formula": "HfAlTcRh", "functional": "PBE", "state": "relaxed", "cell": [[0.0000, 3.1516, 3.1516], [3.1516, 0.0000, 3.1516], [3.1516, 3.1516, 0.0000]], "species": ["Hf", "Al", "Tc", "Rh"], "frac_coords": [[0.0000, 0.0000, 0.0000], [0.5000, 0.5000, 0.5000], [0.7500, 0.7500, 0.7500], [0.2500, 0.2500, 0.2500]], "m_tot_mub_per_cell": 0.00, "sg": "F-43m, No. 216"}



Run two
{"formula": "HfAlTcRh", "functional": "PBE", "state": "relaxed", "cell": [[3.2488, 0.0000, 0.0000], [0.0000, 4.3711, 0.0000], [0.0000, 0.0000, 4.4097]], "species": ["Hf", "Al", "Tc", "Rh"], "frac_coords": [[0.0000, 0.0000, 0.0000], [0.0000, 0.5000, 0.5000], [0.5000, 0.5000, 0.0000], [0.5000, 0.0000, 0.5000]], "m_tot_mub_per_cell": 0.00, "sg": "Pmmm, No. 47"}



Order from most stable to least stable according to the calculation: run two, run one



Run one
{"formula": "HfAl3Ru", "functional": "PBE", "state": "relaxed", "cell": [[5.0421, 0.0000, 0.0000], [0.0000, 5.0421, 0.0000], [0.0000, 0.0000, 5.0421]], "species": ["Hf", "Al", "Al", "Al", "Ru"], "frac_coords": [[0.0000, 0.0000, 0.0000], [0.0000, 0.0000, 0.5000], [0.0000, 0.5000, 0.0000], [0.5000, 0.0000, 0.0000], [0.5000, 0.5000, 0.5000]], "m_tot_mub_per_cell": 1.83, "sg": "Pm-3m, No. 221"}



Run two
{"formula": "HfAl3Ru", "functional": "PBE", "state": "relaxed", "cell": [[6.2581, 0.0000, 0.0000], [0.0000, 6.2581, 0.0000], [0.0000, 0.0000, 6.2581]], "species": ["Hf", "Hf", "Hf", "Al", "Al", "Al", "Al", "Al", "Al", "Al", "Al", "Al", "Ru", "Ru", "Ru"], "frac_coords": [[0.0000, 0.0000, 0.5000], [0.0000, 0.5000, 0.0000], [0.5000, 0.0000, 0.0000], [0.0000, 0.0000, 0.0000], [0.2863, 0.2863, 0.2863], [0.2863, 0.2863, 0.7137], [0.2863, 0.7137, 0.2863], [0.2863, 0.7137, 0.7137], [0.7137, 0.2863, 0.2863], [0.7137, 0.2863, 0.7137], [0.7137, 0.7137, 0.2863], [0.7137, 0.7137, 0.7137], [0.0000, 0.5000, 0.5000], [0.5000, 0.0000, 0.5000], [0.5000, 0.5000, 0.0000]], "m_tot_mub_per_cell": 0.00, "sg": "Pm-3m, No. 221"}



Run three
{"formula": "HfAl3Ru", "functional": "PBE", "state": "relaxed", "cell": [[4.5906, 0.0000, 0.0000], [0.0000, 4.5906, 0.0000], [0.0000, 0.0000, 4.5906]], "species": ["Hf", "Al", "Al", "Al", "Ru"], "frac_coords": [[0.0000, 0.0000, 0.0000], [0.0000, 0.5000, 0.5000], [0.5000, 0.0000, 0.5000], [0.5000, 0.5000, 0.0000], [0.5000, 0.5000, 0.5000]], "m_tot_mub_per_cell": 0.00, "sg": "Pm-3m, No. 221"}



Order from most stable to least stable according to the calculation: run two, run three, run one



Run one
{"formula": "Hf3AlRu", "functional": "PBE", "state": "relaxed", "cell": [[4.9354, 0.0000, 0.0000], [0.0000, 4.9354, 0.0000], [0.0000, 0.0000, 4.9354]], "species": ["Hf", "Hf", "Hf", "Al", "Ru"], "frac_coords": [[0.0000, 0.0000, 0.5000], [0.0000, 0.5000, 0.0000], [0.5000, 0.0000, 0.0000], [0.5000, 0.5000, 0.5000], [0.0000, 0.0000, 0.0000]], "m_tot_mub_per_cell": 0.00, "sg": "Pm-3m, No. 221"}



Run two
{"formula": "Hf3AlRu", "functional": "PBE", "state": "relaxed", "cell": [[4.8463, 0.0000, 0.0000], [0.0000, 4.8463, 0.0000], [0.0000, 0.0000, 4.8463]], "species": ["Hf", "Hf", "Hf", "Al", "Ru"], "frac_coords": [[0.0000, 0.0000, 0.5000], [0.0000, 0.5000, 0.0000], [0.5000, 0.0000, 0.0000], [0.0000, 0.0000, 0.0000], [0.5000, 0.5000, 0.5000]], "m_tot_mub_per_cell": 0.00, "sg": "Pm-3m, No. 221"}



Order from most stable to least stable according to the calculation: run one, run two